Mg3Cu | PBE | optimized geometry

```
Mg3Cu
1.0
4.7071 0.0000 0.0000
2.3536 4.0765 0.0000
2.3536 1.3588 3.8433
Cu Mg
1 3
direct
0.0000 0.0000 0.0000
0.2500 0.2500 0.2500
0.5000 0.5000 0.5000
0.7500 0.7500 0.7500
```

**Space-group type**: Fm-3m, No. 225



Mg2Cu3 | PBE | optimized geometry

```
Mg2Cu3
1.0
2.1445 -3.7143 0.0000
2.1445 3.7143 0.0000
0.0000 0.0000 5.3316
Mg Cu
2 3
direct
0.6667 0.3333 0.1757
0.3333 0.6667 0.8243
0.0000 0.0000 0.0000
0.6667 0.3333 0.6580
0.3333 0.6667 0.3420
```

**Space-group type**: P-3m1, No. 164



Mg2Cu | PBE | optimized geometry

```
Mg2Cu
1.0
-8.9455 10.8928 -4.2392
-10.4127 6.1279 -6.6756
-0.7765 3.5922 4.1576
Mg Cu
8 4
direct
0.0352 0.0352 0.7148
0.2148 0.2148 0.5352
0.9648 0.9648 0.2852
0.7852 0.7852 0.4648
0.7574 0.4926 0.2574
0.4926 0.7574 0.9926
0.2426 0.5074 0.7426
0.5074 0.2426 0.0074
0.4544 0.4544 0.2956
0.7956 0.7956 0.9544
0.5456 0.5456 0.7044
0.2044 0.2044 0.0456
```

**Space-group type**: Fddd, No. 70



Mg2Cu | PBE | optimized geometry

```
Mg2Cu
1.0
2.3744 -7.0322 0.0000
2.3744 7.0322 0.0000
0.0000 0.0000 3.1763
Mg Cu
4 2
direct
0.0000 0.0000 0.0000
0.5000 0.5000 0.5000
0.8175 0.1825 0.5000
0.1825 0.8175 0.5000
0.6567 0.3433 0.0000
0.3433 0.6567 0.0000
```

**Space-group type**: Cmmm, No. 65



MgCu3 | PBE | optimized geometry

```
MgCu3
1.0
-0.7387 3.6483 0.2411
-0.7071 0.1066 -3.7827
-2.8751 -2.6489 2.4132
Mg Cu
1 3
direct
0.7500 0.1667 0.5000
0.9974 0.9148 0.9963
0.5026 0.4186 0.0037
0.2500 0.6667 0.5000
```

**Space-group type**: C2/m, No. 12



Mg3Cu | PBE | optimized geometry

```
Mg3Cu
1.0
-4.3637 1.0343 -0.2790
-1.0698 -4.2824 0.8402
-0.0598 0.7278 3.6334
Cu Mg
1 3
direct
0.0000 0.0000 0.0000
0.0000 0.5000 0.5000
0.5000 0.0000 0.5000
0.5000 0.5000 0.0000
```

**Space-group type**: P4/mmm, No. 123



MgCu | PBE | optimized geometry

```
MgCu
1.0
2.8672 -4.9662 0.0000
2.8672 4.9662 0.0000
0.0000 0.0000 4.2519
Mg Cu
3 3
direct
0.5000 0.0000 0.0000
0.0000 0.5000 0.0000
0.5000 0.5000 0.0000
0.0000 0.0000 0.0000
0.3333 0.6667 0.5000
0.6667 0.3333 0.5000
```

**Space-group type**: P6/mmm, No. 191



Mg2Cu | PBE | optimized geometry

```
Mg2Cu
1.0
7.0096 -0.0186 -0.0111
6.3480 2.9727 -0.0111
6.3480 1.4039 2.6203
Cu Mg
1 2
direct
0.0000 0.0000 0.0000
0.2320 0.2320 0.2320
0.7680 0.7680 0.7680
```

**Space-group type**: R-3m, No. 166



Number 1: DOS at the Fermi energy 0.254 states/eV per atom, formation energy 0.1 eV/f.u.. Number 2: DOS at the Fermi energy 0.370 states/eV per atom, formation energy 1.2 eV/f.u.. Number 3: DOS at the Fermi energy 0.351 states/eV per atom, formation energy 0.1 eV/f.u.. Number 4: DOS at the Fermi energy 0.301 states/eV per atom, formation energy -0.1 eV/f.u.. Number 5: DOS at the Fermi energy 0.358 states/eV per atom, formation energy -0.2 eV/f.u.. Number 6: DOS at the Fermi energy 0.334 states/eV per atom, formation energy 0.1 eV/f.u.. Number 7: DOS at the Fermi energy 0.259 states/eV per atom, formation energy 0.8 eV/f.u.. Number 8: DOS at the Fermi energy 0.316 states/eV per atom, formation energy 0.1 eV/f.u..